This record from Alexandria describes a relaxed SmTlHgPb crystal. The functional is PBE.

a = 4.680 Å, b = 4.897 Å, c = 4.748 Å
α = 90.00°, β = 90.00°, γ = 90.00°
Sites, in units of the cell vectors:
Sm 0.000 0.000 0.000
Tl 0.500 0.500 0.000
Hg 0.000 0.500 0.500
Pb 0.500 0.000 0.500

## Properties
Formation energy from the elements (eV per atom): -0.3541
Space group: Pmmm, No. 47
Spin magnetization (μB/f.u.): 0.0
Fermi-level density of states (states/eV/cell): 1.6
ΔE to the lowest computed polymorph (eV/atom): 0.000

This record from Alexandria describes a relaxed Li3AgN crystal. The functional is PBE.

a = 4.740 Å, b = 4.740 Å, c = 4.740 Å
α = 90.00°, β = 90.00°, γ = 90.00°
Each line ends with the local moment (μB).
Sites, in units of the cell vectors:
Li 0.000 0.500 0.000  -0.02
Li 0.000 0.000 0.500  -0.01
Li 0.500 0.000 0.000  -0.02
Ag 0.000 0.000 0.000  -0.02
N 0.500 0.500 0.500  1.06

## Properties
Space group: Pm-3m, No. 221
Spin magnetization (μB/f.u.): 1.0
Fermi-level density of states (states/eV/cell): 1.9
ΔE_f (raw) (kcal/mol of atoms): 21.95
ΔE to the lowest computed polymorph (eV/atom): 1.098

Listing total DFT energy (no corrections) for the structures above in their given order: -3.128, -2.432 eV/atom.